Here is a relaxed structure of CoO2F4 from the Alexandria database. Energies are from GGA+U.

As for the crystal system: triclinic. The uncorrected energy is -30.35 eV for the cell shown. The density of states at the Fermi level comes out at 0.062 states/eV/atom.

abc: 3.1121 5.0930 6.0493
angles: 92.00 91.93 99.50
Last column: nearest neighbours and their distance in Å.
Space group P-1 (No. 2)
Unique sites:
Co  0.0000  0.0000  0.0000 (multiplicity 1)  6 F 1.80-2.01
O  0.4204  0.3878  0.4795 (multiplicity 2)  1 O 1.18
F  0.0289  0.1903  0.7547 (multiplicity 2)  1 Co 1.80
F  0.4349  0.7866  0.8797 (multiplicity 2)  2 Co 2.01